[1]
Below is a relaxed Cs2LiDyF6 crystal, with properties calculated at the GGA-PBE level.

Lattice parameters (Å, degrees): 8.934 8.934 8.934 90.00 90.00 90.00
Space group Fm-3m (No. 225)
Unique sites:
Cs (0.250, 0.250, 0.250) [8 per cell]
Li (0.000, 0.000, 0.000) [4 per cell]
Dy (0.000, 0.000, 0.500) [4 per cell]
F (0.000, 0.000, 0.253) [24 per cell]

Computed properties:
Calculated total energy ... -5.28 eV per atom
Size of the total moment ... 0.000 μB per formula unit
Theoretical density ... 5.12 g/cm3

***

[2]
Below is a relaxed CsLiDy2F8 crystal, with properties calculated at the GGA-PBE level.

Lattice parameters (Å, degrees): 4.319 6.692 7.286 83.49 85.22 89.44
Space group P-1 (No. 2)
Unique sites:
Cs (0.000, 0.000, 0.000) [1 per cell]
Li (0.000, 0.000, 0.500) [1 per cell]
Dy (0.434, 0.452, 0.261) [2 per cell]
F (0.061, 0.469, 0.771) [2 per cell]
F (0.226, 0.152, 0.323) [2 per cell]
F (0.379, 0.682, 0.462) [2 per cell]
F (0.470, 0.690, 0.009) [2 per cell]

Computed properties:
Calculated total energy ... -5.92 eV per atom
Size of the total moment ... 0.000 μB per formula unit
Theoretical density ... 4.91 g/cm3

***

[3]
Below is a relaxed CsNaDyF6 crystal, with properties calculated at the GGA-PBE level.

Lattice parameters (Å, degrees): 7.375 8.329 11.964 90.00 90.00 90.00
Space group Imma (No. 74)
Unique sites:
Cs (0.000, 0.250, 0.122) [4 per cell]
Na (0.250, 0.250, 0.750) [4 per cell]
Dy (0.000, 0.000, 0.500) [4 per cell]
F (0.000, 0.250, 0.440) [4 per cell]
F (0.000, 0.250, 0.871) [4 per cell]
F (0.209, 0.046, 0.623) [16 per cell]

Computed properties:
Calculated total energy ... -5.00 eV per atom
Size of the total moment ... 1.007 μB per formula unit
Theoretical density ... 3.91 g/cm3

***

[4]
Below is a relaxed Cs3Na2DyF9 crystal, with properties calculated at the GGA-PBE level.

Lattice parameters (Å, degrees): 6.4429 6.4429 8.0715 90.00 90.00 120.00
Space group P-3m1 (No. 164)
Unique sites:
Cs (0.0000, 0.0000, 0.0000) [1 per cell]
Cs (0.3333, 0.6667, 0.6846) [2 per cell]
Na (0.3333, 0.6667, 0.1827) [2 per cell]
Dy (0.0000, 0.0000, 0.5000) [1 per cell]
F (0.0000, 0.5000, 0.0000) [3 per cell]
F (0.1597, 0.3195, 0.3422) [6 per cell]

Computed properties:
Calculated total energy ... -4.73 eV per atom
Size of the total moment ... 1.265 μB per formula unit
Theoretical density ... 4.45 g/cm3

***

[5]
Below is a relaxed Cs2DyOF3 crystal, with properties calculated at the GGA-PBE level.

Lattice parameters (Å, degrees): 4.433 4.573 15.279 90.00 90.00 90.00
Space group Immm (No. 71)
Unique sites:
Cs (0.000, 0.000, 0.148) [4 per cell]
Dy (0.000, 0.000, 0.500) [2 per cell]
O (0.000, 0.500, 0.000) [2 per cell]
F (0.000, 0.000, 0.352) [4 per cell]
F (0.000, 0.500, 0.500) [2 per cell]

Computed properties:
Calculated total energy ... -5.54 eV per atom
Size of the total moment ... 0.000 μB per formula unit
Theoretical density ... 5.38 g/cm3

***

[6]
Below is a relaxed Cs2DyPb3F12 crystal, with properties calculated at the GGA-PBE level.

Lattice parameters (Å, degrees): 8.5326 8.5326 21.3125 90.00 90.00 120.00
Space group R-3m (No. 166, hexagonal axes)
Unique sites:
Cs (0.0000, 0.0000, 0.1044) [6 per cell]
Dy (0.0000, 0.0000, 0.5000) [3 per cell]
Pb (0.0000, 0.5000, 0.0000) [9 per cell]
F (0.0521, 0.5261, 0.3630) [18 per cell]
F (0.0899, 0.5449, 0.1084) [18 per cell]

Computed properties:
Calculated total energy ... -4.98 eV per atom
Size of the total moment ... 0.000 μB per formula unit
Theoretical density ... 4.74 g/cm3